VASP calculation (GGA-PBE) on a relaxed structure of La2FeAg.

CIF file:
```
data_La2FeAg
_symmetry_space_group_name_H-M 'F -4 3 m'
_symmetry_Int_Tables_number 216
_symmetry_space_group_name_Hall 'F -4 2 3'
_cell_length_a 7.156
_cell_length_b 7.156
_cell_length_c 7.156
_cell_angle_alpha 90.00
_cell_angle_beta 90.00
_cell_angle_gamma 90.00
loop_
_atom_site_label
_atom_site_fract_x
_atom_site_fract_y
_atom_site_fract_z
_atom_site_occupancy
La1 0.000 0.000 0.000 1
La2 0.250 0.250 0.250 1
Fe1 0.250 0.250 0.750 1
Ag1 0.000 0.000 0.500 1
```

---

VASP calculation (GGA-PBE) on a relaxed structure of Hf4IrRu.

CIF file:
```
data_Hf4IrRu
_symmetry_space_group_name_H-M 'P 1 2/m 1'
_symmetry_Int_Tables_number 10
_symmetry_space_group_name_Hall '-P 2y'
_cell_length_a 4.505
_cell_length_b 4.513
_cell_length_c 6.397
_cell_angle_alpha 90.00
_cell_angle_beta 90.26
_cell_angle_gamma 90.00
loop_
_atom_site_label
_atom_site_fract_x
_atom_site_fract_y
_atom_site_fract_z
_atom_site_occupancy
Hf1 0.001 0.000 0.251 1
Hf2 0.499 0.500 0.749 1
Ir1 0.000 0.500 0.000 1
Ru1 0.500 0.000 0.500 1
```

---

Number 1: E_tot -5.105 eV per atom. Number 2: E_tot -10.108 eV per atom.